(1)
{
  "formula": "Mg2InCo2",
  "functional": "PBE",
  "state": "relaxed",
  "lattice_angstrom": [[7.364, 0.000, 0.000], [0.000, 7.364, 0.000], [0.000, 0.000, 2.915]],
  "species": ["Mg", "Mg", "Mg", "Mg", "In", "In", "Co", "Co", "Co", "Co"],
  "frac_coords": [[0.129, 0.371, 0.000], [0.371, 0.871, 0.000], [0.629, 0.129, 0.000], [0.871, 0.629, 0.000], [0.000, 0.000, 0.000], [0.500, 0.500, 0.000], [0.169, 0.669, 0.500], [0.331, 0.169, 0.500], [0.669, 0.831, 0.500], [0.831, 0.331, 0.500]],
  "de_polymorph_mev_per_atom": 245.6,
  "ef_ev_per_atom": 0.284,
  "space_group": "No. 127"
}

=====

(2)
{
  "formula": "MgIn2Co",
  "functional": "PBE",
  "state": "relaxed",
  "lattice_angstrom": [[3.490, 0.000, 0.000], [0.000, 3.490, 0.000], [0.000, 0.000, 6.249]],
  "species": ["Mg", "In", "In", "Co"],
  "frac_coords": [[0.000, 0.000, 0.000], [0.000, 0.000, 0.434], [0.500, 0.500, 0.734], [0.500, 0.500, 0.220]],
  "ef_ev_per_atom": 0.144,
  "space_group": "No. 99"
}

=====

(3)
{
  "formula": "MgIn2Co",
  "functional": "PBE",
  "state": "relaxed",
  "lattice_angstrom": [[-2.065, 2.065, 4.322], [2.065, -2.065, 4.322], [2.065, 2.065, -4.322]],
  "species": ["Mg", "In", "In", "Co"],
  "frac_coords": [[0.000, 0.000, 0.000], [0.500, 0.500, 0.000], [0.750, 0.250, 0.500], [0.250, 0.750, 0.500]],
  "ef_ev_per_atom": 0.159,
  "space_group": "No. 119"
}

=====

(4)
{
  "formula": "MgInCo2",
  "functional": "PBE",
  "state": "relaxed",
  "lattice_angstrom": [[-1.585, 2.168, 4.441], [1.585, -2.168, 4.441], [1.585, 2.168, -4.441]],
  "species": ["Mg", "In", "Co", "Co"],
  "frac_coords": [[0.000, 0.000, 0.000], [0.720, 0.220, 0.500], [0.263, 0.763, 0.500], [0.464, 0.464, 0.000]],
  "ef_ev_per_atom": 0.102,
  "space_group": "No. 44"
}

=====

(5)
{
  "formula": "MgIn2Co2",
  "functional": "PBE",
  "state": "relaxed",
  "lattice_angstrom": [[-1.651, 1.651, 8.769], [1.651, -1.651, 8.769], [1.651, 1.651, -8.769]],
  "species": ["Mg", "In", "In", "Co", "Co"],
  "frac_coords": [[0.000, 0.000, 0.000], [0.377, 0.377, 0.000], [0.623, 0.623, 0.000], [0.250, 0.750, 0.500], [0.750, 0.250, 0.500]],
  "ef_ev_per_atom": 0.174,
  "space_group": "No. 139"
}

=====

(6)
{
  "formula": "MgIn2Co",
  "functional": "PBE",
  "state": "relaxed",
  "lattice_angstrom": [[3.155, 0.000, 0.000], [0.000, 3.138, 0.000], [-0.083, 0.000, 7.738]],
  "species": ["Mg", "In", "In", "Co"],
  "frac_coords": [[0.000, 0.000, 0.000], [0.496, 0.500, 0.295], [0.504, 0.500, 0.705], [0.000, 0.000, 0.500]],
  "ef_ev_per_atom": 0.085,
  "space_group": "No. 10"
}

=====

(7)
{
  "formula": "Mg6InCo2",
  "functional": "PBE",
  "state": "relaxed",
  "lattice_angstrom": [[-4.075, 4.528, 4.718], [4.075, -4.528, 4.718], [4.075, 4.528, -4.718]],
  "species": ["Mg", "Mg", "Mg", "Mg", "Mg", "Mg", "Mg", "Mg", "Mg", "Mg", "Mg", "Mg", "In", "In", "Co", "Co", "Co", "Co"],
  "frac_coords": [[0.022, 0.826, 0.196], [0.249, 0.535, 0.286], [0.249, 0.964, 0.714], [0.283, 0.312, 0.596], [0.283, 0.688, 0.971], [0.370, 0.174, 0.196], [0.630, 0.826, 0.804], [0.717, 0.312, 0.029], [0.717, 0.688, 0.404], [0.751, 0.036, 0.286], [0.751, 0.465, 0.714], [0.978, 0.174, 0.804], [0.000, 0.500, 0.500], [0.500, 0.000, 0.500], [0.000, 0.146, 0.146], [0.000, 0.854, 0.854], [0.384, 0.384, 0.000], [0.616, 0.616, 0.000]],
  "ef_ev_per_atom": 0.001,
  "space_group": "No. 71"
}

=====

(8)
{
  "formula": "MgIn2Co2",
  "functional": "PBE",
  "state": "relaxed",
  "lattice_angstrom": [[7.085, 0.000, 0.000], [0.000, 7.085, 0.000], [0.000, 0.000, 3.334]],
  "species": ["Mg", "Mg", "In", "In", "In", "In", "Co", "Co", "Co", "Co"],
  "frac_coords": [[0.000, 0.000, 0.000], [0.500, 0.500, 0.000], [0.162, 0.338, 0.500], [0.338, 0.838, 0.500], [0.662, 0.162, 0.500], [0.838, 0.662, 0.500], [0.134, 0.634, 0.000], [0.366, 0.134, 0.000], [0.634, 0.866, 0.000], [0.866, 0.366, 0.000]],
  "ef_ev_per_atom": 0.073,
  "space_group": "No. 127"
}

=====

What did the sixth record say?
{
  "formula": "MgIn2Co",
  "functional": "PBE",
  "state": "relaxed",
  "lattice_angstrom": [[3.155, 0.000, 0.000], [0.000, 3.138, 0.000], [-0.083, 0.000, 7.738]],
  "species": ["Mg", "In", "In", "Co"],
  "frac_coords": [[0.000, 0.000, 0.000], [0.496, 0.500, 0.295], [0.504, 0.500, 0.705], [0.000, 0.000, 0.500]],
  "ef_ev_per_atom": 0.085,
  "space_group": "No. 10"
}

=====

Which formula does entry 1 have?
Mg2InCo2